# 1
Compound: TaSiSe2
Source: Alexandria via LeMat-Bulk
Functional: PBE-GGA
Structure: optimized geometry

POSCAR file:
```
TaSiSe2
1.0
-3.685 -2.690 1.747
-3.046 -3.564 -1.372
2.792 -3.713 1.612
Se Si Ta
2 1 1
Cartesian
2.446 -3.904 1.595
-1.624 -4.792 1.011
-0.985 -2.492 0.497
-2.954 -7.475 1.490
```

Output
**Total energy**: -6.055 eV/atom
**ΔE_f (raw)**: 0.02 eV/f.u.
**V**: 18.55 Å³ per atom
**SG**: C2/m (12)



# 2
Compound: Pr7Nd12Pb
Source: Alexandria via LeMat-Bulk
Functional: PBE-GGA
Structure: optimized geometry

POSCAR file:
```
Pr7Nd12Pb
1.0
-2.685 7.706 3.782
-2.402 -4.346 7.500
8.170 1.283 3.536
Pr Nd Pb
7 12 1
Cartesian
-1.096 4.711 6.670
4.180 -0.069 8.148
2.495 5.752 6.675
-1.755 1.725 8.821
1.542 2.321 7.409
4.838 2.918 5.997
0.588 -1.109 8.143
6.092 5.884 6.891
1.800 1.180 10.951
2.708 -2.600 10.253
-1.040 0.805 5.183
4.123 3.837 9.635
1.283 3.463 3.867
-3.009 -1.241 7.928
2.610 0.029 4.667
0.473 4.613 10.152
0.375 7.243 4.566
-3.331 4.952 9.143
6.414 -0.309 5.675
0.000 0.000 0.000
```

Output
**Total energy**: -4.579 eV/atom
**V**: 36.37 Å³ per atom
**SG**: R-3 (148)
**Energy of formation from the pure elements**: 2.81 eV per formula unit



# 3
Compound: LiV
Source: Alexandria via LeMat-Bulk
Functional: PBE-GGA
Structure: optimized geometry

POSCAR file:
```
LiV
1.0
-1.325 -7.581 4.306
2.960 -0.106 -8.307
2.483 0.068 0.884
Li V
6 6
Cartesian
2.855 -6.287 -1.640
2.288 -5.425 -4.046
1.829 -2.195 0.929
1.262 -1.332 -1.477
1.212 -6.634 3.005
2.906 -0.986 -6.122
0.271 -4.365 1.541
3.345 -1.068 -3.417
0.772 -6.552 0.300
1.129 -4.301 -0.874
2.989 -3.319 -2.243
3.847 -3.254 -4.659
```

Output
**Total energy**: -5.122 eV/atom
**V**: 14.80 Å³ per atom
**SG**: P6_3/m (176)
**Energy of formation from the pure elements**: 0.79 eV per formula unit
**ΔE to the lowest computed polymorph**: 0.68 kcal/mol of atoms



# 4
Compound: Cs2TlSiO
Source: Alexandria via LeMat-Bulk
Functional: PBE-GGA
Structure: optimized geometry

POSCAR file:
```
Cs2TlSiO
1.0
7.381 0.000 0.000
0.000 3.639 0.000
0.000 0.000 7.381
O Tl Cs Si
1 1 2 1
Cartesian
0.000 1.819 0.000
3.691 1.819 3.691
0.000 0.000 3.691
3.691 0.000 0.000
0.000 0.000 0.000
```

Output
**Total energy**: -3.084 eV/atom
**ΔE_f (raw)**: -0.97 eV/f.u.
**V**: 39.65 Å³ per atom
**SG**: P4/mmm (123)



# 5
Compound: TaPBr2
Source: Alexandria via LeMat-Bulk
Functional: PBE-GGA
Structure: optimized geometry

POSCAR file:
```
TaPBr2
1.0
-7.317 5.895 -2.192
-5.124 -3.637 7.322
-5.319 2.788 4.019
Ta Br P
2 4 2
Cartesian
0.000 0.000 0.000
-9.428 4.906 2.196
-7.902 3.472 3.863
-7.618 4.792 0.228
-10.504 7.170 1.256
-11.689 4.190 3.437
-6.220 1.129 2.565
-8.332 0.140 6.954
```

Output
**Total energy**: -5.193 eV/atom
**ΔE_f (raw)**: -0.16 eV/f.u.
**V**: 27.73 Å³ per atom
**SG**: I-42d (122)
**ΔE to the lowest computed polymorph**: 8.75 kcal/mol of atoms



# 6
Compound: LiLa2As3Pd4
Source: Alexandria via LeMat-Bulk
Functional: PBE-GGA
Structure: optimized geometry

POSCAR file:
```
LiLa2As3Pd4
1.0
-2.549 2.880 -2.034
-2.866 -0.230 3.266
4.849 7.681 4.796
Pd As La Li
4 3 2 1
Cartesian
0.404 2.794 3.449
-2.707 1.325 0.616
0.000 0.000 0.000
1.738 6.212 1.963
2.425 3.840 2.398
2.905 8.059 3.116
-0.763 0.946 2.296
2.244 5.709 5.270
-0.102 3.297 0.142
-0.283 5.165 3.014
```

Output
**Total energy**: -5.600 eV/atom
**V**: 19.44 Å³ per atom
**SG**: P-4m2 (115)
**Energy of formation from the pure elements**: -9.52 eV per formula unit



# 7
Compound: MgGaFe4
Source: Alexandria via LeMat-Bulk
Functional: PBE-GGA
Structure: optimized geometry

POSCAR file:
```
MgGaFe4
1.0
-0.785 -4.446 -1.776
3.564 -3.291 0.037
-0.242 -3.804 3.002
Mg Fe Ga
1 4 1
Cartesian
0.000 0.000 0.000
1.978 -4.990 1.677
-0.196 -5.567 0.771
1.586 -7.212 0.789
1.706 -5.311 -0.711
0.634 -2.885 0.316
```

Output
**Total energy**: -6.353 eV/atom
**V**: 13.46 Å³ per atom
**SG**: F-43m (216)
**Energy of formation from the pure elements**: 0.35 eV per formula unit



# 8
Compound: Dy2YCd4
Source: Alexandria via LeMat-Bulk
Functional: PBE-GGA
Structure: optimized geometry

POSCAR file:
```
Dy2YCd4
1.0
-0.146 -4.146 -3.351
5.297 -0.489 0.373
-3.346 -1.965 6.821
Y Cd Dy
1 4 2
Cartesian
0.000 0.000 0.000
2.470 -1.232 1.417
2.055 -3.539 4.289
-0.666 -5.367 2.427
-0.251 -3.061 -0.445
2.205 -4.373 1.070
-0.401 -2.227 2.773
```

Output
**Total energy**: -2.922 eV/atom
**V**: 27.96 Å³ per atom
**SG**: I4/mmm (139)
**Energy of formation from the pure elements**: -1.13 eV per formula unit



# 9
Compound: As2Se
Source: Alexandria via LeMat-Bulk
Functional: PBE-GGA
Structure: optimized geometry

POSCAR file:
```
As2Se
1.0
3.945 0.000 0.000
0.000 3.945 0.000
0.000 0.000 4.375
Se As
1 2
Cartesian
0.000 0.000 0.000
0.000 1.973 2.187
1.973 0.000 2.187
```

Output
**Total energy**: -3.928 eV/atom
**ΔE_f (raw)**: 1.00 eV/f.u.
**V**: 22.70 Å³ per atom
**SG**: P4/mmm (123)
**ΔE to the lowest computed polymorph**: 6.81 kcal/mol of atoms



# 10
Compound: MnW
Source: Alexandria via LeMat-Bulk
Functional: PBE-GGA
Structure: optimized geometry

POSCAR file:
```
MnW
1.0
4.915 0.000 0.000
0.000 4.915 0.000
0.000 0.000 4.920
Mn W
4 4
Cartesian
1.451 1.451 2.460
3.908 1.007 0.000
1.007 3.908 0.000
3.465 3.465 2.460
3.496 3.496 0.000
1.420 1.420 0.000
1.038 3.877 2.460
3.877 1.038 2.460
```

Output
**Total energy**: -10.131 eV/atom
**V**: 14.86 Å³ per atom
**SG**: P4_2/mnm (136)
**Energy of formation from the pure elements**: 1.86 eV per formula unit



# 11
Compound: Pm3InIr
Source: Alexandria via LeMat-Bulk
Functional: PBE-GGA
Structure: optimized geometry

POSCAR file:
```
Pm3InIr
1.0
-4.875 0.993 0.168
-1.085 -6.033 4.209
2.151 8.423 12.626
Pm Ir In
12 4 4
Cartesian
-3.434 -0.151 11.868
-3.712 0.284 1.215
-3.357 0.781 8.585
-0.418 2.144 12.088
-2.250 5.379 13.531
-0.373 3.535 5.135
0.243 5.624 10.678
-3.390 1.240 4.916
-1.558 -1.995 3.472
-4.051 -2.240 6.325
-0.095 3.100 15.789
-0.450 2.603 8.418
-0.887 0.166 10.157
0.543 6.660 13.265
-2.921 3.218 6.846
-4.351 -3.276 3.738
-0.926 1.250 2.601
-2.657 3.905 10.431
-2.881 2.134 14.402
-1.151 -0.521 6.572
```

Output
**Total energy**: -5.705 eV/atom
**V**: 28.37 Å³ per atom
**SG**: Pnma (62)
**Energy of formation from the pure elements**: -2.67 eV per formula unit
**ΔE to the lowest computed polymorph**: 0.00 kcal/mol of atoms



# 12
Compound: LaDyMnIn
Source: Alexandria via LeMat-Bulk
Functional: PBE-GGA
Structure: optimized geometry

POSCAR file:
```
LaDyMnIn
1.0
-2.983 3.228 3.027
-3.230 -2.058 3.717
1.150 0.621 5.174
In Dy La Mn
1 1 1 1
Cartesian
-2.531 0.896 5.959
-1.266 0.448 2.980
-3.797 1.344 8.939
0.000 0.000 0.000
```

Output
**Total energy**: -5.431 eV/atom
**V**: 26.87 Å³ per atom
**SG**: F-43m (216)
**Energy of formation from the pure elements**: -0.29 eV per formula unit



Number 1: mass density 8.21 g/cm3. Number 2: mass density 6.68 g/cm3. Number 3: mass density 3.25 g/cm3. Number 4: mass density 4.31 g/cm3. Number 5: mass density 5.57 g/cm3. Number 6: mass density 7.99 g/cm3. Number 7: mass density 6.53 g/cm3. Number 8: mass density 7.33 g/cm3. Number 9: mass density 5.58 g/cm3. Number 10: mass density 13.34 g/cm3. Number 11: mass density 8.69 g/cm3. Number 12: mass density 7.28 g/cm3.